Entry 1:
DFT (PBE-GGA) results for an optimized crystal structure of SrAgPd4.

Calculated values
Its relative energy among the computed polymorphs is 0 meV/atom. The energy of formation from the pure elements is -0.318 eV per atom. For the calculated volume, the calculation gives 114.4 Å³/cell. The space group is No. 216. For the density of states at the Fermi level, the calculation gives 1.189 states/eV/atom.

Structure (POSCAR):
```
SrAgPd4
1.0
5.4489 0.0000 0.0000
2.7245 4.7189 0.0000
2.7245 1.5730 4.4490
Sr Ag Pd
1 1 4
direct
0.2500 0.2500 0.2500
0.0000 0.0000 0.0000
0.6254 0.6254 0.6254
0.6254 0.1238 0.6254
0.1238 0.6254 0.6254
0.6254 0.6254 0.1238
```

=====

Entry 2:
DFT (PBE-GGA) results for an optimized crystal structure of Sr2Ag3Pd.

Calculated values
The energy of formation from the pure elements is -0.354 eV per atom. For the calculated volume, the calculation gives 159.1 Å³/cell. The space group is No. 25. For the density of states at the Fermi level, the calculation gives 0.326 states/eV/atom.

Structure (POSCAR):
```
Sr2Ag3Pd
1.0
4.0869 0.0000 0.0000
0.0000 4.7385 0.0000
0.0000 0.0000 8.2170
Ag Pd Sr
3 1 2
direct
0.5000 0.5000 0.6627
0.5000 0.0000 0.8333
0.5000 0.0000 0.1683
0.5000 0.5000 0.3318
0.0000 0.0000 0.4848
0.0000 0.5000 0.0191
```

=====

Entry 3:
DFT (PBE-GGA) results for an optimized crystal structure of SrAg3Pd.

Calculated values
Its relative energy among the computed polymorphs is 295 meV/atom. The energy of formation from the pure elements is 0.052 eV per atom. For the calculated volume, the calculation gives 135.6 Å³/cell. The space group is No. 221. For the density of states at the Fermi level, the calculation gives 0.298 states/eV/atom.

Structure (POSCAR):
```
SrAg3Pd
1.0
-4.0832 0.8767 2.9917
0.3180 -4.7871 1.8368
3.1013 1.6452 3.7506
Ag Pd Sr
3 1 1
direct
0.5000 0.0000 0.0000
0.0000 0.5000 0.0000
0.0000 0.0000 0.5000
0.0000 0.0000 0.0000
0.5000 0.5000 0.5000
```